LiLaPd2S | PBE | optimized geometry

symmetry: P4/mmm, No. 123

Cell: 5.0238 5.0238 6.3741 Å, 90.00 90.00 90.00°
Last column: nearest neighbours and their distance in Å.
Element x y z (fractional)
Li  0.0000  0.0000  0.0000  2 La 3.19, 4 S 3.55
La  0.0000  0.0000  0.5000  4 Pd 2.51
Pd  0.0000  0.5000  0.5000  2 La 2.51
Pd  0.5000  0.0000  0.5000  2 La 2.51
S  0.5000  0.5000  0.0000  4 Li 3.55

=====

LiLa2Sb3Pd4 | PBE | optimized geometry

symmetry: P-4m2, No. 115

Cell: 4.5637 4.5637 10.6426 Å, 90.00 90.00 90.00°
Last column: nearest neighbours and their distance in Å.
Element x y z (fractional)
Li  0.0000  0.0000  0.0000  4 Pd 2.62
La  0.0000  0.5000  0.7405  6 Sb 3.41-3.58, 8 Pd 3.43-3.55, 2 Li 3.58
La  0.5000  0.0000  0.2595  6 Sb 3.41-3.58, 8 Pd 3.43-3.55, 2 Li 3.58
Sb  0.0000  0.5000  0.3636  5 Pd 2.59-2.70
Sb  0.5000  0.0000  0.6364  5 Pd 2.59-2.70
Sb  0.5000  0.5000  0.0000  4 Pd 2.62
Pd  0.0000  0.0000  0.5000  4 Sb 2.70
Pd  0.0000  0.5000  0.1202  3 Sb 2.59-2.62, 2 Li 2.62
Pd  0.5000  0.0000  0.8798  3 Sb 2.59-2.62, 2 Li 2.62
Pd  0.5000  0.5000  0.5000  4 Sb 2.70

=====

LiLaSb2Pd5 | PBE | optimized geometry

symmetry: P4/mmm, No. 123

Cell: 4.2618 4.2618 10.3286 Å, 90.00 90.00 90.00°
Last column: nearest neighbours and their distance in Å.
Element x y z (fractional)
Li  0.0000  0.0000  0.0000  8 Sb 3.35, 8 Pd 3.71
La  0.0000  0.0000  0.5000  12 Pd 3.01
Sb  0.5000  0.5000  0.1422  4 Pd 2.64, 1 Sb 2.94
Sb  0.5000  0.5000  0.8578  4 Pd 2.64, 1 Sb 2.94
Pd  0.0000  0.5000  0.2936  2 Sb 2.64
Pd  0.0000  0.5000  0.7064  2 Sb 2.64
Pd  0.5000  0.0000  0.2936  2 Sb 2.64
Pd  0.5000  0.0000  0.7064  2 Sb 2.64
Pd  0.5000  0.5000  0.5000  4 La 3.01, 8 Pd 3.01

=====

LiLaSb2Pd4 | PBE | optimized geometry

symmetry: R-3m, No. 166

Cell: 9.0632 9.0632 9.0632 Å, 28.98 28.98 28.98°
Last column: nearest neighbours and their distance in Å.
Element x y z (fractional)
Li  0.0000  0.0000  0.0000  8 Pd 2.55-2.74
La  0.5000  0.5000  0.5000  8 Pd 3.17-3.53
Sb  0.2592  0.2592  0.2592  7 Pd 2.69-2.85
Sb  0.7408  0.7408  0.7408  7 Pd 2.69-2.85
Pd  0.0978  0.0978  0.0978  1 Li 2.55, 3 Sb 2.69
Pd  0.3645  0.3645  0.3645  4 Sb 2.74-2.85, 3 Li 2.74
Pd  0.6355  0.6355  0.6355  4 Sb 2.74-2.85, 3 Li 2.74
Pd  0.9022  0.9022  0.9022  1 Li 2.55, 3 Sb 2.69

=====

In eV per formula unit, the formation energy from raw total energies values for the records above are, in order, 3.560 -9.118 -5.044 -5.894.